# 1
# GGA-PBEsol Cu3Se2Cl2O6, optimized geometry
data_Cu3Se2Cl2O6
_chemical_formula_sum 'Cu6 Se4 Cl4 O12'
_space_group_name_H-M_alt 'P -1'
_space_group_IT_number 2
_space_group_name_Hall '-P 1'
_cell_length_a 6.087
_cell_length_b 7.787
_cell_length_c 8.486
_cell_angle_alpha 91.42
_cell_angle_beta 95.76
_cell_angle_gamma 91.98
loop_
_atom_site_label
_atom_site_type_symbol
_atom_site_fract_x
_atom_site_fract_y
_atom_site_fract_z
_atom_site_occupancy
Cu1 Cu 0.096 0.404 0.372 1
Cu2 Cu 0.310 0.603 0.068 1
Cu3 Cu 0.393 0.173 0.575 1
Se1 Se 0.098 0.824 0.317 1
Se2 Se 0.382 0.704 0.722 1
Cl1 Cl 0.037 0.734 0.928 1
Cl2 Cl 0.419 0.126 0.829 1
O1 O 0.085 0.218 0.542 1
O2 O 0.174 0.616 0.264 1
O3 O 0.210 0.553 0.616 1
O4 O 0.316 0.888 0.457 1
O5 O 0.380 0.305 0.381 1
O6 O 0.477 0.577 0.884 1
# * raw total energy: -4.948 eV per atom
# * Fermi-level density of states: 5.676 states/eV per cell

---

# 2
# GGA-PBEsol Cu5Se4Cl2O12, optimized geometry
data_Cu5Se4Cl2O12
_chemical_formula_sum 'Cu10 Se8 Cl4 O24'
_space_group_name_H-M_alt 'P 1 21/c 1'
_space_group_IT_number 14
_space_group_name_Hall '-P 2ybc'
_cell_length_a 10.846
_cell_length_b 8.214
_cell_length_c 7.477
_cell_angle_alpha 90.00
_cell_angle_beta 90.31
_cell_angle_gamma 90.00
loop_
_atom_site_label
_atom_site_type_symbol
_atom_site_fract_x
_atom_site_fract_y
_atom_site_fract_z
_atom_site_occupancy
Cu1 Cu 0.000 0.000 0.000 1
Cu2 Cu 0.130 0.131 0.662 1
Cu3 Cu 0.360 0.508 0.925 1
Se1 Se 0.127 0.692 0.824 1
Se2 Se 0.323 0.092 0.002 1
Cl1 Cl 0.464 0.616 0.161 1
O1 O 0.001 0.231 0.049 1
O2 O 0.023 0.537 0.753 1
O3 O 0.201 0.023 0.875 1
O4 O 0.202 0.600 0.999 1
O5 O 0.280 0.213 0.563 1
O6 O 0.287 0.523 0.689 1
# * raw total energy: -5.170 eV per atom
# * Fermi-level density of states: 12.844 states/eV per cell

---

> Among the records above, which one has the lowest raw total energy?

Cu5Se4Cl2O12